Material: CaAl3Ru
Method: DFT, PBE-GGA
State: optimized geometry

Results
Formation enthalpy at 0 K, eV/atom: 1.9294
Energy, eV per atom: -2.57
ρ, g/cm3: 2.51
Energy above the most stable polymorph in this dataset, eV/atom: 2.256
Spin magnetization, μB/f.u.: 2.68

abc: 5.273 5.273 5.273
angles: 90.00 90.00 90.00
Each line ends with the local moment (μB).
Fractional positions:
Al (0.000, 0.000, 0.500)  0.00
Ru (0.500, 0.500, 0.500)  2.39
Al (0.000, 0.500, 0.000)  0.00
Al (0.500, 0.000, 0.000)  0.02
Ca (0.000, 0.000, 0.000)  0.01